(1)
AlSbOs2 (meta-GGA SCAN, single point on PBEsol structure); space group = P4mm, No. 99; formation energy (no corrections) = 0.20 eV/atom; spin magnetization = 0.00 μB per atom; energy = -187.99 eV/f.u.
1.0
-0.0721 2.8323 0.5176
-0.8218 -0.5164 2.7116
7.6712 -0.2218 2.2827
Sb Os Al
1 2 1
direct
0.0000 0.0000 0.4846 Sb
0.0000 0.0000 0.0082 Os
0.5000 0.5000 0.2142 Os
0.5000 0.5000 0.7930 Al



(2)
NaBe3O (meta-GGA SCAN, single point on PBEsol structure); space group = Pm-3m, No. 221; formation energy (no corrections) = 2.30 eV/atom; spin magnetization = 0.22 μB per atom; energy = -11.98 eV/f.u.
1.0
4.4747 0.0000 0.0000
0.0000 4.4747 0.0000
0.0000 0.0000 4.4747
Na O Be
1 1 3
direct
0.0000 0.0000 0.0000 Na
0.5000 0.5000 0.5000 O
0.0000 0.5000 0.0000 Be
0.0000 0.0000 0.5000 Be
0.5000 0.0000 0.0000 Be



(3)
AlP2BrCl (meta-GGA SCAN, single point on PBEsol structure); space group = P4/mmm, No. 123; formation energy (no corrections) = 0.26 eV/atom; spin magnetization = 0.24 μB per atom; energy = -54.68 eV/f.u.
1.0
-3.2679 0.6849 -3.0682
2.1074 -3.0733 -2.9306
-2.5222 -3.5379 1.8965
P Al Br Cl
2 1 1 1
direct
0.0000 0.0000 0.5000 P
0.0000 0.5000 0.0000 P
0.0000 0.0000 0.0000 Al
0.5000 0.5000 0.5000 Br
0.5000 0.0000 0.0000 Cl



(4)
BaVS3 (meta-GGA SCAN, single point on PBEsol structure); space group = C222_1, No. 20; formation energy (no corrections) = -1.59 eV/atom; spin magnetization = 0.14 μB per atom; energy = -93.88 eV/f.u.
1.0
-2.5617 2.4779 -4.1955
3.7599 -3.3732 -4.2879
-2.0337 -5.9132 -2.2507
Ba V S
2 2 6
direct
0.2500 0.3300 0.3401 Ba
0.7500 0.6700 0.6599 Ba
0.0000 0.0379 0.0000 V
0.5000 0.9621 0.0000 V
0.2500 0.8362 0.3277 S
0.7620 0.6662 0.1645 S
0.7500 0.1638 0.6723 S
0.7380 0.1693 0.1645 S
0.2620 0.3338 0.8355 S
0.2380 0.8307 0.8355 S



(5)
TlSb2HI (meta-GGA SCAN, single point on PBEsol structure); space group = P4/mmm, No. 123; spin magnetization = 0.64 μB per atom; energy = -181.63 eV/f.u.
1.0
5.7037 0.0000 0.0000
0.0000 5.7037 0.0000
0.0000 0.0000 6.2609
I Sb Tl H
1 2 1 1
direct
0.0000 0.0000 0.5000 I
0.0000 0.5000 0.0000 Sb
0.5000 0.0000 0.0000 Sb
0.0000 0.0000 0.0000 Tl
0.5000 0.5000 0.5000 H



(6)
AsHSe2I (meta-GGA SCAN, single point on PBEsol structure); space group = P4/mmm, No. 123; spin magnetization = 0.55 μB per atom; energy = -93.47 eV/f.u.
1.0
5.4337 0.0000 0.0000
0.0000 5.4337 0.0000
0.0000 0.0000 5.4536
I H As Se
1 1 1 2
direct
0.0000 0.0000 0.0000 I
0.5000 0.5000 0.5000 H
0.0000 0.0000 0.5000 As
0.0000 0.5000 0.0000 Se
0.5000 0.0000 0.0000 Se



(7)
KTaBe3 (meta-GGA SCAN, single point on PBEsol structure); formation enthalpy at 0 K = 2404 meV per atom; space group = Pm-3m, No. 221; spin magnetization = 0.00 μB per atom; energy = -75.95 eV/f.u.
1.0
4.1880 0.0000 0.0000
0.0000 4.1880 0.0000
0.0000 0.0000 4.1880
Be K Ta
3 1 1
direct
0.0000 0.5000 0.0000 Be
0.0000 0.0000 0.5000 Be
0.5000 0.0000 0.0000 Be
0.0000 0.0000 0.0000 K
0.5000 0.5000 0.5000 Ta



(8)
FeAs2Cl (meta-GGA SCAN, single point on PBEsol structure); space group = P4mm, No. 99; formation energy (no corrections) = 0.17 eV/atom; spin magnetization = 0.73 μB per atom; energy = -65.79 eV/f.u.
1.0
-2.6713 -0.8738 0.7134
1.1279 -2.0874 1.6670
0.0321 5.1962 6.4851
As Fe Cl
2 1 1
direct
0.0000 0.0000 0.9437 As
0.5000 0.5000 0.2100 As
0.5000 0.5000 0.7607 Fe
0.0000 0.0000 0.5856 Cl